(1)
NaH2Pd, optimized geometry, DFT PBE; energy relative to the lowest polymorph listed for this composition = 4.58 kcal/mol of atoms; space-group type = No. 227
1.0
-2.191 -4.095 -2.845
3.111 -2.958 -3.352
1.226 -5.155 1.261
Na H Pd
2 4 2
direct
0.500 0.500 0.500 Na
0.750 0.750 0.750 Na
0.125 0.125 0.625 H
0.125 0.125 0.125 H
0.625 0.125 0.125 H
0.125 0.625 0.125 H
0.250 0.250 0.250 Pd
0.000 0.000 0.000 Pd

(2)
Na2H2Pd, optimized geometry, DFT PBE; energy relative to the lowest polymorph listed for this composition = 0.97 kcal/mol of atoms; space-group type = No. 139
1.0
4.754 0.000 0.000
0.000 4.754 0.000
2.377 2.377 3.864
Na Pd H
2 1 2
direct
0.750 0.250 0.500 Na
0.250 0.750 0.500 Na
0.000 0.000 0.000 Pd
0.217 0.217 0.565 H
0.783 0.783 0.435 H

(3)
Na2H4Pd, optimized geometry, DFT PBE; energy relative to the lowest polymorph listed for this composition = 0.53 kcal/mol of atoms; space-group type = No. 139
1.0
3.724 0.000 0.000
0.000 3.724 0.000
1.862 1.862 5.564
Na Pd H
2 1 4
direct
0.360 0.360 0.280 Na
0.640 0.640 0.720 Na
0.000 0.000 0.000 Pd
0.154 0.154 0.691 H
0.846 0.846 0.309 H
0.000 0.500 0.000 H
0.500 0.000 0.000 H

(4)
NaHPd3, optimized geometry, DFT PBE; energy relative to the lowest polymorph listed for this composition = 0.06 kcal/mol of atoms; space-group type = No. 1
1.0
5.811 0.029 -0.008
1.650 4.813 -0.007
2.711 -0.918 4.820
H Pd Na
2 6 2
direct
0.315 0.079 0.901 H
0.784 0.487 0.664 H
0.548 0.284 0.783 Pd
0.548 0.284 0.283 Pd
0.548 0.784 0.531 Pd
0.548 0.784 0.034 Pd
0.049 0.284 0.783 Pd
0.049 0.284 0.282 Pd
0.053 0.788 0.530 Na
0.043 0.781 0.035 Na

(5)
NaH2Pd, optimized geometry, DFT PBE; energy relative to the lowest polymorph listed for this composition = 2.30 kcal/mol of atoms; space-group type = No. 122
1.0
-4.421 0.490 0.247
-0.240 -3.534 2.702
-1.787 1.417 5.367
Na Pd H
2 2 4
direct
0.500 0.500 0.000 Na
0.250 0.750 0.500 Na
0.000 0.000 0.000 Pd
0.750 0.250 0.500 Pd
0.758 0.125 0.250 H
0.992 0.625 0.250 H
0.375 0.242 0.750 H
0.875 0.008 0.750 H

(6)
NaH8Pd4, optimized geometry, DFT PBE; energy relative to the lowest polymorph listed for this composition = 0.35 kcal/mol of atoms; space-group type = No. 216
1.0
-4.647 3.000 -1.554
-3.740 1.772 3.985
-0.382 5.583 1.300
Na H Pd
1 8 4
direct
0.750 0.750 0.750 Na
0.561 0.146 0.146 H
0.146 0.561 0.146 H
0.146 0.146 0.561 H
0.146 0.146 0.146 H
0.207 0.598 0.598 H
0.598 0.207 0.598 H
0.598 0.598 0.207 H
0.598 0.598 0.598 H
0.878 0.374 0.374 Pd
0.374 0.878 0.374 Pd
0.374 0.374 0.878 Pd
0.374 0.374 0.374 Pd

(7)
NaH2Pd3, optimized geometry, DFT PBE; energy relative to the lowest polymorph listed for this composition = 0.00 kcal/mol of atoms; space-group type = No. 65
1.0
-2.243 -3.446 3.174
-1.058 -0.797 -5.023
2.277 -1.679 -0.213
Na H Pd
1 2 3
direct
0.500 0.500 0.000 Na
0.214 0.786 0.000 H
0.786 0.214 0.000 H
0.000 0.000 0.000 Pd
0.500 0.000 0.500 Pd
0.000 0.500 0.500 Pd

(8)
Na3H2Pd, optimized geometry, DFT PBE; raw total energy = -2.736 eV per atom; space-group type = No. 12
1.0
3.343 0.000 0.000
1.671 7.822 0.058
1.671 1.924 8.221
Na H Pd
6 4 2
direct
0.035 0.139 0.792 Na
0.965 0.861 0.208 Na
0.691 0.677 0.942 Na
0.309 0.323 0.058 Na
0.822 0.783 0.573 Na
0.178 0.217 0.427 Na
0.882 0.462 0.774 H
0.118 0.538 0.226 H
0.561 0.354 0.523 H
0.439 0.646 0.477 H
0.423 0.471 0.683 Pd
0.577 0.529 0.317 Pd

(9)
Na5H6Pd2, optimized geometry, DFT PBE; raw total energy = -3.005 eV per atom; space-group type = No. 55
1.0
3.265 0.000 0.000
0.000 10.569 0.000
0.000 0.000 10.476
Na H Pd
10 12 4
direct
0.500 0.292 0.444 Na
0.500 0.708 0.556 Na
0.500 0.792 0.056 Na
0.500 0.208 0.944 Na
0.500 0.564 0.289 Na
0.500 0.436 0.711 Na
0.500 0.064 0.211 Na
0.500 0.936 0.789 Na
0.500 0.500 0.000 Na
0.500 0.000 0.500 Na
0.000 0.184 0.311 H
0.000 0.816 0.689 H
0.000 0.684 0.189 H
0.000 0.316 0.811 H
0.500 0.321 0.137 H
0.500 0.679 0.863 H
0.500 0.821 0.363 H
0.500 0.179 0.637 H
0.000 0.421 0.345 H
0.000 0.579 0.655 H
0.000 0.921 0.155 H
0.000 0.079 0.845 H
0.000 0.318 0.209 Pd
0.000 0.682 0.791 Pd
0.000 0.818 0.291 Pd
0.000 0.182 0.709 Pd

(10)
Na2H3Pd2, optimized geometry, DFT PBE; energy relative to the lowest polymorph listed for this composition = 0.00 kcal/mol of atoms; space-group type = No. 12
1.0
3.574 0.000 -1.065
-0.614 4.386 -2.060
-0.180 -0.422 5.926
Na H Pd
2 3 2
direct
0.606 0.886 0.211 Na
0.394 0.114 0.789 Na
0.000 0.500 0.000 H
0.329 0.532 0.659 H
0.671 0.468 0.341 H
0.852 0.542 0.704 Pd
0.148 0.458 0.296 Pd

(11)
Na3H12Pd5, optimized geometry, DFT PBE; raw total energy = -3.604 eV per atom; space-group type = No. 230
1.0
10.047 0.000 0.000
-3.349 9.472 0.000
-3.349 -4.736 8.203
Na Pd H
12 20 48
direct
0.750 0.375 0.125 Na
0.875 0.750 0.125 Na
0.375 0.750 0.625 Na
0.250 0.125 0.375 Na
0.875 0.125 0.250 Na
0.375 0.625 0.250 Na
0.625 0.375 0.750 Na
0.125 0.875 0.750 Na
0.750 0.875 0.625 Na
0.625 0.250 0.375 Na
0.125 0.250 0.875 Na
0.250 0.625 0.875 Na
0.125 0.375 0.250 Pd
0.000 0.500 0.000 Pd
0.000 0.000 0.000 Pd
0.375 0.250 0.125 Pd
0.500 0.000 0.500 Pd
0.500 0.500 0.000 Pd
0.125 0.750 0.375 Pd
0.750 0.125 0.875 Pd
0.750 0.625 0.375 Pd
0.375 0.125 0.750 Pd
0.625 0.875 0.250 Pd
0.500 0.500 0.500 Pd
0.500 0.000 0.000 Pd
0.000 0.000 0.500 Pd
0.250 0.375 0.625 Pd
0.250 0.875 0.125 Pd
0.000 0.500 0.500 Pd
0.875 0.250 0.625 Pd
0.625 0.750 0.875 Pd
0.875 0.625 0.750 Pd
0.684 0.109 0.014 H
0.330 0.514 0.405 H
0.986 0.391 0.316 H
0.514 0.184 0.109 H
0.575 0.684 0.670 H
0.986 0.595 0.170 H
0.330 0.816 0.425 H
0.095 0.925 0.109 H
0.595 0.986 0.670 H
0.684 0.575 0.170 H
0.816 0.486 0.391 H
0.830 0.905 0.014 H
0.109 0.684 0.514 H
0.391 0.405 0.075 H
0.075 0.905 0.391 H
0.425 0.109 0.595 H
0.075 0.170 0.184 H
0.486 0.670 0.095 H
0.830 0.925 0.316 H
0.109 0.425 0.095 H
0.391 0.986 0.816 H
0.595 0.609 0.425 H
0.905 0.830 0.514 H
0.816 0.330 0.925 H
0.405 0.391 0.575 H
0.095 0.170 0.486 H
0.184 0.670 0.075 H
0.170 0.075 0.684 H
0.609 0.014 0.184 H
0.891 0.575 0.905 H
0.514 0.330 0.905 H
0.575 0.891 0.405 H
0.925 0.830 0.816 H
0.925 0.095 0.609 H
0.891 0.316 0.486 H
0.170 0.095 0.986 H
0.609 0.595 0.925 H
0.405 0.014 0.330 H
0.316 0.425 0.830 H
0.184 0.514 0.609 H
0.905 0.075 0.891 H
0.670 0.184 0.575 H
0.486 0.816 0.891 H
0.014 0.405 0.830 H
0.425 0.316 0.330 H
0.014 0.609 0.684 H
0.670 0.486 0.595 H
0.316 0.891 0.986 H

(12)
NaPr2H6Pd2, optimized geometry, DFT PBE; raw total energy = -4.147 eV per atom; space-group type = No. 166
1.0
5.350 0.000 0.000
2.675 4.633 0.000
2.675 1.544 5.642
Na Pr H Pd
1 2 6 2
direct
0.000 0.000 0.000 Na
0.772 0.772 0.684 Pr
0.228 0.228 0.316 Pr
0.747 0.747 0.311 H
0.195 0.747 0.311 H
0.747 0.195 0.311 H
0.253 0.805 0.689 H
0.805 0.253 0.689 H
0.253 0.253 0.689 H
0.411 0.411 0.766 Pd
0.589 0.589 0.234 Pd

(13)
NaH6Pd2Pt, optimized geometry, DFT PBE; raw total energy = -3.902 eV per atom; space-group type = No. 1
1.0
5.048 -0.006 0.010
-2.529 4.172 -0.136
-2.509 -1.536 4.864
Na H Pd Pt
1 6 2 1
direct
0.842 0.419 0.251 Na
0.680 0.048 0.764 H
0.346 0.958 0.257 H
0.886 0.965 0.259 H
0.300 0.458 0.124 H
0.724 0.584 0.855 H
0.146 0.034 0.763 H
0.626 0.808 0.431 Pd
0.395 0.187 0.589 Pd
0.021 0.016 0.010 Pt

(14)
NaHPdPt2, optimized geometry, DFT PBE; energy relative to the lowest polymorph listed for this composition = 0.18 kcal/mol of atoms; space-group type = No. 123
1.0
-1.217 -3.734 0.658
2.513 -1.312 -2.797
3.040 -0.470 2.952
Na Pd Pt H
1 1 2 1
direct
0.500 0.500 0.500 Na
0.000 0.000 0.500 Pd
0.000 0.500 0.000 Pt
0.500 0.000 0.000 Pt
0.000 0.000 0.000 H

(15)
NaHPdPt2, optimized geometry, DFT PBE; energy relative to the lowest polymorph listed for this composition = 0.00 kcal/mol of atoms; space-group type = No. 123
1.0
3.939 0.000 0.000
0.000 3.939 0.000
0.000 0.000 4.304
Na Pd Pt H
1 1 2 1
direct
0.000 0.000 0.500 Na
0.500 0.500 0.500 Pd
0.000 0.500 0.000 Pt
0.500 0.000 0.000 Pt
0.000 0.000 0.000 H

(16)
NaHPd2Pt, optimized geometry, DFT PBE; energy relative to the lowest polymorph listed for this composition = 0.00 kcal/mol of atoms; space-group type = No. 123
1.0
4.219 0.000 0.000
0.000 4.219 0.000
0.000 0.000 3.816
Na Pd Pt H
1 2 1 1
direct
0.500 0.500 0.500 Na
0.000 0.500 0.000 Pd
0.500 0.000 0.000 Pd
0.000 0.000 0.500 Pt
0.000 0.000 0.000 H

(17)
NaH4PdPt, optimized geometry, DFT PBE; raw total energy = -3.867 eV per atom; space-group type = No. 74
1.0
-0.472 -0.990 -5.761
-2.465 -3.742 3.830
-2.261 5.452 -0.751
Na H Pd Pt
2 8 2 2
direct
0.876 0.752 0.126 Na
0.124 0.248 0.874 Na
0.731 0.462 0.668 H
0.337 0.074 0.287 H
0.737 0.074 0.287 H
0.731 0.462 0.295 H
0.269 0.538 0.705 H
0.663 0.926 0.713 H
0.263 0.926 0.713 H
0.269 0.538 0.332 H
0.500 0.000 0.500 Pd
0.500 0.000 0.000 Pd
0.500 0.500 0.500 Pt
0.000 0.500 0.500 Pt

(18)
NaH8PdPt4, optimized geometry, DFT PBE; raw total energy = -4.113 eV per atom; space-group type = No. 160
1.0
-4.562 -2.949 -1.704
0.089 -5.691 0.102
-3.212 -2.826 3.979
Na H Pd Pt
1 8 1 4
direct
0.371 0.371 0.887 Na
0.230 0.836 0.704 H
0.836 0.230 0.704 H
0.230 0.230 0.704 H
0.221 0.221 0.336 H
0.748 0.238 0.265 H
0.238 0.748 0.265 H
0.748 0.748 0.265 H
0.749 0.749 0.753 H
0.000 0.000 0.001 Pd
0.627 0.627 0.119 Pt
0.998 0.505 0.499 Pt
0.505 0.998 0.499 Pt
0.998 0.998 0.499 Pt

(19)
NaH8Pd2Pt3, optimized geometry, DFT PBE; raw total energy = -4.097 eV per atom; space-group type = No. 160
1.0
5.706 0.000 0.000
2.853 4.941 0.000
2.853 1.647 4.800
Na H Pd Pt
1 8 2 3
direct
0.871 0.871 0.386 Na
0.254 0.254 0.237 H
0.722 0.722 0.835 H
0.254 0.254 0.773 H
0.720 0.254 0.773 H
0.254 0.720 0.773 H
0.729 0.334 0.207 H
0.334 0.729 0.207 H
0.729 0.729 0.207 H
0.126 0.126 0.622 Pd
0.499 0.499 0.502 Pd
0.498 0.004 0.001 Pt
0.004 0.498 0.001 Pt
0.498 0.498 0.001 Pt